VASP calculation (PBE-GGA) on a geometry-optimized Cs5As3Pt3 structure.

Its space-group type is P-62m. Its density of states at the Fermi level is 0.2949 states/eV per atom. Its raw total energy is -3.62 eV/atom. For the formation energy, the calculation gives -3.5 eV/f.u.

Unit cell a=11.4650 b=11.4650 c=4.2500 alpha=90.00 beta=90.00 gamma=120.00
With the nearest neighbours (Å) after each atom.
Element x y z (fractional)
Cs: 0.0000 0.7510 0.0000  4 Pt 3.87, 3 As 3.97-4.08, 2 Cs 4.25
Cs: 0.2490 0.2490 0.0000  4 Pt 3.87, 3 As 3.97-4.08, 2 Cs 4.25
Cs: 0.3333 0.6667 0.0000  3 As 3.52
Cs: 0.6667 0.3333 0.0000  3 As 3.52
Cs: 0.7510 0.0000 0.0000  4 Pt 3.87, 3 As 3.97-4.08, 2 Cs 4.25
As: 0.0000 0.3953 0.0000  2 Pt 2.36
As: 0.3953 0.0000 0.0000  2 Pt 2.36
As: 0.6047 0.6047 0.0000  2 Pt 2.36
Pt: 0.0000 0.3066 0.5000  2 As 2.36
Pt: 0.3066 0.0000 0.5000  2 As 2.36
Pt: 0.6934 0.6934 0.5000  2 As 2.36


VASP calculation (PBE-GGA) on a geometry-optimized Cd2SbO2 structure.

Its space-group type is P4/mbm. Its density of states at the Fermi level is 0.6989 states/eV per atom. The value obtained for the offset from the most stable computed form is 0 meV/atom. Its raw total energy is -3.62 eV/atom. The calculation puts the uncorrected formation energy at -0.451 eV/atom.

Unit cell a=5.8900 b=5.8900 c=5.2698 alpha=90.00 beta=90.00 gamma=90.00
With the nearest neighbours (Å) after each atom.
Element x y z (fractional)
Cd: 0.1731 0.3269 0.0000  2 O 2.66, 1 Cd 2.88
Cd: 0.3269 0.8269 0.0000  2 O 2.66, 1 Cd 2.88
Cd: 0.6731 0.1731 0.0000  2 O 2.66, 1 Cd 2.88
Cd: 0.8269 0.6731 0.0000  2 O 2.66, 1 Cd 2.88
Sb: 0.0000 0.0000 0.5000  4 O 2.10
Sb: 0.5000 0.5000 0.5000  4 O 2.10
O: 0.2208 0.2792 0.5000  2 Sb 2.10
O: 0.2792 0.7792 0.5000  2 Sb 2.10
O: 0.7208 0.2208 0.5000  2 Sb 2.10
O: 0.7792 0.7208 0.5000  2 Sb 2.10


VASP calculation (PBE-GGA) on a geometry-optimized TaTlPb structure.

Its space-group type is F-43m. Its density of states at the Fermi level is 1.5928 states/eV per atom. The value obtained for the offset from the most stable computed form is 419 meV/atom. Its raw total energy is -5.01 eV/atom. For the formation energy, the calculation gives 2.9 eV/f.u.

Unit cell a=6.9303 b=6.9303 c=6.9303 alpha=90.00 beta=90.00 gamma=90.00
With the nearest neighbours (Å) after each atom.
Element x y z (fractional)
Ta: 0.0000 0.0000 0.0000  4 Pb 3.00, 4 Tl 3.00
Ta: 0.0000 0.5000 0.5000  4 Pb 3.00, 4 Tl 3.00
Ta: 0.5000 0.0000 0.5000  4 Pb 3.00, 4 Tl 3.00
Ta: 0.5000 0.5000 0.0000  4 Pb 3.00, 4 Tl 3.00
Tl: 0.2500 0.2500 0.7500  4 Ta 3.00
Tl: 0.2500 0.7500 0.2500  4 Ta 3.00
Tl: 0.7500 0.2500 0.2500  4 Ta 3.00
Tl: 0.7500 0.7500 0.7500  4 Ta 3.00
Pb: 0.2500 0.2500 0.2500  4 Ta 3.00
Pb: 0.2500 0.7500 0.7500  4 Ta 3.00
Pb: 0.7500 0.2500 0.7500  4 Ta 3.00
Pb: 0.7500 0.7500 0.2500  4 Ta 3.00


VASP calculation (PBE-GGA) on a geometry-optimized LaTb2ErSc4 structure.

Its space-group type is P4/mmm. Its density of states at the Fermi level is 1.7524 states/eV per atom. Its raw total energy is -5.45 eV/atom. For the formation energy, the calculation gives 0.5 eV/f.u.

Unit cell a=4.9706 b=4.9706 c=9.2023 alpha=90.00 beta=90.00 gamma=90.00
With the nearest neighbours (Å) after each atom.
Element x y z (fractional)
La: 0.0000 0.0000 0.0000  8 Sc 3.41, 4 Tb 3.51
Tb: 0.0000 0.0000 0.5000  8 Sc 3.36, 4 Er 3.51
Tb: 0.5000 0.5000 0.0000  8 Sc 3.41, 4 La 3.51
Er: 0.5000 0.5000 0.5000  8 Sc 3.36, 4 Tb 3.51
Sc: 0.0000 0.5000 0.2540  4 Tb 3.36-3.41, 2 Er 3.36, 2 La 3.41, 4 Sc 3.51
Sc: 0.0000 0.5000 0.7460  4 Tb 3.36-3.41, 2 Er 3.36, 2 La 3.41, 4 Sc 3.51
Sc: 0.5000 0.0000 0.2540  4 Tb 3.36-3.41, 2 Er 3.36, 2 La 3.41, 4 Sc 3.51
Sc: 0.5000 0.0000 0.7460  4 Tb 3.36-3.41, 2 Er 3.36, 2 La 3.41, 4 Sc 3.51


VASP calculation (PBE-GGA) on a geometry-optimized MnTlCd2Cl8 structure.

Its space-group type is P-1. Its raw total energy is -3.32 eV/atom. The calculation puts the uncorrected formation energy at -0.976 eV/atom.

Unit cell a=6.2351 b=6.4301 c=8.9930 alpha=76.66 beta=82.62 gamma=77.04
With the nearest neighbours (Å) after each atom.
Element x y z (fractional)
Mn: 0.0000 0.0000 0.0000  4 Cl 2.28-2.33
Tl: 0.0000 0.0000 0.5000  6 Cl 3.20-3.34
Cd: 0.4247 0.4305 0.7334  4 Cl 2.48-2.66
Cd: 0.5753 0.5695 0.2666  4 Cl 2.48-2.66
Cl: 0.1622 0.7481 0.2063  1 Mn 2.33
Cl: 0.2515 0.2117 0.9916  1 Mn 2.28
Cl: 0.2617 0.7936 0.8006  1 Cd 2.51, 1 Mn 2.65
Cl: 0.3344 0.3156 0.5076  1 Cd 2.48
Cl: 0.6656 0.6844 0.4924  1 Cd 2.48
Cl: 0.7383 0.2064 0.1994  1 Cd 2.51, 1 Mn 2.65
Cl: 0.7485 0.7883 0.0084  1 Mn 2.28
Cl: 0.8378 0.2519 0.7937  1 Mn 2.33